Version A
Compound: CdTc2HgTe
Source: the Alexandria database
Functional: GGA-PBEsol
Structure: relaxed

```
CdTc2HgTe
1.0
5.0848 0.0000 0.0000
0.0000 5.0848 0.0000
0.0000 0.0000 5.0126
Cd Tc Hg Te
1 2 1 1
Direct
0.0000 0.0000 0.0000 Cd
0.0000 0.5000 0.0000 Tc
0.5000 0.0000 0.0000 Tc
0.0000 0.0000 0.5000 Hg
0.5000 0.5000 0.5000 Te
```

Output
The size of the total moment comes out at 6.718 μB/f.u. The calculation puts the calculated volume at 129.6 Å³ per cell.



Version B
Compound: CdTc2HgTe
Source: the Alexandria database
Functional: GGA-PBEsol
Structure: relaxed

```
CdTc2HgTe
1.0
4.8580 0.0000 0.0000
0.0000 4.8580 0.0000
0.0000 0.0000 5.3284
Cd Tc Hg Te
1 2 1 1
Direct
0.0000 0.0000 0.0000 Cd
0.0000 0.5000 0.5000 Tc
0.5000 0.0000 0.5000 Tc
0.5000 0.5000 0.0000 Hg
0.5000 0.5000 0.5000 Te
```

Output
The size of the total moment comes out at 2.639 μB/f.u. The calculation puts the calculated volume at 125.8 Å³ per cell.



It is version B that is the most stable of them.



Version A
Compound: TlCd2Hg2
Source: the Alexandria database
Functional: GGA-PBEsol
Structure: relaxed

```
TlCd2Hg2
1.0
8.6738 0.0000 0.0000
0.0000 8.6738 0.0000
0.0000 0.0000 3.1474
Tl Cd Hg
2 4 4
Direct
0.0000 0.0000 0.0000 Tl
0.5000 0.5000 0.0000 Tl
0.1407 0.3593 0.5000 Cd
0.3593 0.8593 0.5000 Cd
0.6407 0.1407 0.5000 Cd
0.8593 0.6407 0.5000 Cd
0.1564 0.6564 0.0000 Hg
0.3436 0.1564 0.0000 Hg
0.6564 0.8436 0.0000 Hg
0.8436 0.3436 0.0000 Hg
```

Output
The size of the total moment comes out at 0.000 μB/f.u. The calculation puts the calculated volume at 236.8 Å³ per cell.



Version B
Compound: TlCd2Hg2
Source: the Alexandria database
Functional: GGA-PBEsol
Structure: relaxed

```
TlCd2Hg2
1.0
-2.1269 2.1269 6.8682
2.1269 -2.1269 6.8682
2.1269 2.1269 -6.8682
Tl Cd Hg
1 2 2
Direct
0.0000 0.0000 0.0000 Tl
0.2500 0.7500 0.5000 Cd
0.7500 0.2500 0.5000 Cd
0.3978 0.3978 0.0000 Hg
0.6022 0.6022 0.0000 Hg
```

Output
The size of the total moment comes out at 0.000 μB/f.u. The calculation puts the calculated volume at 124.3 Å³ per cell.



It is version A that is the most stable of them.



Version A
Compound: Tl2CdHg
Source: the Alexandria database
Functional: GGA-PBEsol
Structure: relaxed

```
Tl2CdHg
1.0
0.0000 3.7136 3.7136
3.7136 0.0000 3.7136
3.7136 3.7136 0.0000
Tl Cd Hg
2 1 1
Direct
0.2500 0.2500 0.2500 Tl
0.7500 0.7500 0.7500 Tl
0.0000 0.0000 0.0000 Cd
0.5000 0.5000 0.5000 Hg
```

Output
The size of the total moment comes out at 0.000 μB/f.u. The calculation puts the calculated volume at 102.4 Å³ per cell.



Version B
Compound: Tl2CdHg
Source: the Alexandria database
Functional: GGA-PBEsol
Structure: relaxed

```
Tl2CdHg
1.0
5.7702 -1.6719 0.0000
5.7702 1.6719 0.0000
-1.7882 0.0000 5.2588
Tl Cd Hg
2 1 1
Direct
0.0000 0.0000 0.0000 Tl
0.2229 0.2229 0.6781 Tl
0.4726 0.4726 0.4832 Cd
0.7541 0.7541 0.1970 Hg
```

Output
The size of the total moment comes out at 0.000 μB/f.u. The calculation puts the calculated volume at 101.5 Å³ per cell.



It is version B that is the most stable of them.



Version A
Compound: Tl2CdHg
Source: the Alexandria database
Functional: GGA-PBEsol
Structure: relaxed

```
Tl2CdHg
1.0
-2.3203 2.3203 4.6798
2.3203 -2.3203 4.6798
2.3203 2.3203 -4.6798
Tl Cd Hg
2 1 1
Direct
0.0000 0.0000 0.0000 Tl
0.7500 0.2500 0.5000 Tl
0.5000 0.5000 0.0000 Cd
0.2500 0.7500 0.5000 Hg
```

Output
The size of the total moment comes out at 0.000 μB/f.u. The calculation puts the calculated volume at 100.8 Å³ per cell.



Version B
Compound: Tl2CdHg
Source: the Alexandria database
Functional: GGA-PBEsol
Structure: relaxed

```
Tl2CdHg
1.0
-2.1999 2.1999 10.9667
2.1999 -2.1999 10.9667
2.1999 2.1999 -10.9667
Tl Cd Hg
4 2 2
Direct
0.1242 0.6250 0.9992 Tl
0.3750 0.3742 0.4992 Tl
0.6258 0.1250 0.0008 Tl
0.8750 0.8758 0.5008 Tl
0.0000 0.0000 0.0000 Cd
0.7500 0.2500 0.5000 Cd
0.2500 0.7500 0.5000 Hg
0.5000 0.5000 0.0000 Hg
```

Output
The size of the total moment comes out at 0.000 μB/f.u. The calculation puts the calculated volume at 212.3 Å³ per cell.



It is version A that is the most stable of them.



Version A
Compound: Tl2CdHg
Source: the Alexandria database
Functional: GGA-PBEsol
Structure: relaxed

```
Tl2CdHg
1.0
1.6545 0.9552 10.7115
-1.6545 0.9552 10.7115
0.0000 -1.9105 10.7115
Tl Cd Hg
2 1 1
Direct
0.2495 0.2495 0.2495 Tl
0.7505 0.7505 0.7505 Tl
0.5000 0.5000 0.5000 Cd
0.0000 0.0000 0.0000 Hg
```

Output
The size of the total moment comes out at 0.000 μB/f.u. The calculation puts the calculated volume at 101.6 Å³ per cell.



Version B
Compound: Tl2CdHg
Source: the Alexandria database
Functional: GGA-PBEsol
Structure: relaxed

```
Tl2CdHg
1.0
-1.7958 2.6986 5.2634
1.7958 -2.6986 5.2634
1.7958 2.6986 -5.2634
Tl Cd Hg
2 1 1
Direct
0.0000 0.0000 0.0000 Tl
0.7264 0.2264 0.5000 Tl
0.4779 0.4779 0.0000 Cd
0.2537 0.7537 0.5000 Hg
```

Output
The size of the total moment comes out at 0.000 μB/f.u. The calculation puts the calculated volume at 102.0 Å³ per cell.



Version C
Compound: Tl2CdHg
Source: the Alexandria database
Functional: GGA-PBEsol
Structure: relaxed

```
Tl2CdHg
1.0
1.9383 -2.5774 0.0000
1.9383 2.5774 0.0000
0.0000 0.0000 10.2490
Tl Cd Hg
2 1 1
Direct
0.0000 0.0000 0.2456 Tl
0.0000 0.0000 0.7544 Tl
0.5000 0.5000 0.0000 Cd
0.5000 0.5000 0.5000 Hg
```

Output
The size of the total moment comes out at 0.000 μB/f.u. The calculation puts the calculated volume at 102.4 Å³ per cell.



Version D
Compound: Tl2CdHg
Source: the Alexandria database
Functional: GGA-PBEsol
Structure: relaxed

```
Tl2CdHg
1.0
3.3102 0.0000 0.0000
0.0000 3.3102 0.0000
0.0000 0.0000 9.1463
Tl Cd Hg
2 1 1
Direct
0.0000 0.0000 0.0000 Tl
0.5000 0.5000 0.2871 Tl
0.0000 0.0000 0.5338 Cd
0.5000 0.5000 0.7478 Hg
```

Output
The size of the total moment comes out at 0.000 μB/f.u. The calculation puts the calculated volume at 100.2 Å³ per cell.



It is version D that is the most stable of them.



Version A
Compound: TlCd2Hg
Source: the Alexandria database
Functional: GGA-PBEsol
Structure: relaxed

```
TlCd2Hg
1.0
1.7133 -2.7332 0.0000
1.7133 2.7332 0.0000
0.0000 0.0000 10.1708
Tl Cd Hg
1 2 1
Direct
0.0000 0.0000 0.0000 Tl
0.5000 0.5000 0.2628 Cd
0.5000 0.5000 0.7372 Cd
0.0000 0.0000 0.5000 Hg
```

Output
The size of the total moment comes out at 0.000 μB/f.u. The calculation puts the calculated volume at 95.3 Å³ per cell.



Version B
Compound: TlCd2Hg
Source: the Alexandria database
Functional: GGA-PBEsol
Structure: relaxed

```
TlCd2Hg
1.0
0.0000 3.6273 3.6273
3.6273 0.0000 3.6273
3.6273 3.6273 0.0000
Tl Cd Hg
1 2 1
Direct
0.0000 0.0000 0.0000 Tl
0.5000 0.5000 0.5000 Cd
0.7500 0.7500 0.7500 Cd
0.2500 0.2500 0.2500 Hg
```

Output
The size of the total moment comes out at 0.000 μB/f.u. The calculation puts the calculated volume at 95.5 Å³ per cell.



Version C
Compound: TlCd2Hg
Source: the Alexandria database
Functional: GGA-PBEsol
Structure: relaxed

```
TlCd2Hg
1.0
-2.2116 2.2116 4.7722
2.2116 -2.2116 4.7722
2.2116 2.2116 -4.7722
Tl Cd Hg
1 2 1
Direct
0.0000 0.0000 0.0000 Tl
0.5000 0.5000 0.0000 Cd
0.7500 0.2500 0.5000 Cd
0.2500 0.7500 0.5000 Hg
```

Output
The size of the total moment comes out at 0.000 μB/f.u. The calculation puts the calculated volume at 93.4 Å³ per cell.



Version D
Compound: TlCd2Hg
Source: the Alexandria database
Functional: GGA-PBEsol
Structure: relaxed

```
TlCd2Hg
1.0
-1.8447 2.4605 5.2181
1.8447 -2.4605 5.2181
1.8447 2.4605 -5.2181
Tl Cd Hg
1 2 1
Direct
0.0000 0.0000 0.0000 Tl
0.2614 0.7614 0.5000 Cd
0.5013 0.5013 0.0000 Cd
0.7405 0.2405 0.5000 Hg
```

Output
The size of the total moment comes out at 0.000 μB/f.u. The calculation puts the calculated volume at 94.7 Å³ per cell.



It is version C that is the most stable of them.



Version A
Compound: TlCd2Hg
Source: the Alexandria database
Functional: GGA-PBEsol
Structure: relaxed

```
TlCd2Hg
1.0
1.7146 -2.7143 0.0000
1.7146 2.7143 0.0000
0.0000 0.0000 10.2191
Tl Cd Hg
1 2 1
Direct
0.0000 0.0000 0.0000 Tl
0.0000 0.0000 0.5019 Cd
0.5000 0.5000 0.7370 Cd
0.5000 0.5000 0.2638 Hg
```

Output
The size of the total moment comes out at 0.000 μB/f.u. The calculation puts the calculated volume at 95.1 Å³ per cell.



Version B
Compound: TlCd2Hg
Source: the Alexandria database
Functional: GGA-PBEsol
Structure: relaxed

```
TlCd2Hg
1.0
1.6505 0.9529 9.9371
-1.6505 0.9529 9.9371
0.0000 -1.9059 9.9371
Tl Cd Hg
1 2 1
Direct
0.0000 0.0000 0.0000 Tl
0.4995 0.4995 0.4995 Cd
0.7545 0.7545 0.7545 Cd
0.2452 0.2452 0.2452 Hg
```

Output
The size of the total moment comes out at 0.000 μB/f.u. The calculation puts the calculated volume at 93.8 Å³ per cell.



Version C
Compound: TlCd2Hg
Source: the Alexandria database
Functional: GGA-PBEsol
Structure: relaxed

```
TlCd2Hg
1.0
3.2677 0.0000 0.0000
0.0000 5.0092 0.0000
-0.0525 0.0000 5.9178
Tl Cd Hg
1 2 1
Direct
0.0000 0.0000 0.0000 Tl
0.4864 0.5000 0.2477 Cd
0.5136 0.5000 0.7523 Cd
0.5000 0.0000 0.5000 Hg
```

Output
The size of the total moment comes out at 0.000 μB/f.u. The calculation puts the calculated volume at 96.9 Å³ per cell.



Version D
Compound: TlCd2Hg
Source: the Alexandria database
Functional: GGA-PBEsol
Structure: relaxed

```
TlCd2Hg
1.0
3.2398 0.0000 0.0000
0.0000 3.2398 0.0000
0.0000 0.0000 8.8363
Tl Cd Hg
1 2 1
Direct
0.0000 0.0000 0.0000 Tl
0.0000 0.0000 0.4946 Cd
0.5000 0.5000 0.2670 Cd
0.5000 0.5000 0.7283 Hg
```

Output
The size of the total moment comes out at 0.000 μB/f.u. The calculation puts the calculated volume at 92.7 Å³ per cell.



It is version D that is the most stable of them.



Version A
Compound: TlCd2Hg
Source: the Alexandria database
Functional: GGA-PBEsol
Structure: relaxed

```
TlCd2Hg
1.0
1.6508 0.9531 9.9218
-1.6508 0.9531 9.9218
0.0000 -1.9062 9.9218
Tl Cd Hg
1 2 1
Direct
0.0000 0.0000 0.0000 Tl
0.2454 0.2454 0.2454 Cd
0.7546 0.7546 0.7546 Cd
0.5000 0.5000 0.5000 Hg
```

Output
The size of the total moment comes out at 0.000 μB/f.u. The calculation puts the calculated volume at 93.7 Å³ per cell.



Version B
Compound: TlCd2Hg
Source: the Alexandria database
Functional: GGA-PBEsol
Structure: relaxed

```
TlCd2Hg
1.0
3.1765 -5.3615 0.0000
3.1765 5.3615 0.0000
-1.5596 0.0000 2.7877
Tl Cd Hg
1 2 1
Direct
0.0000 0.0000 0.0000 Tl
0.0000 0.5000 0.0000 Cd
0.5000 0.0000 0.0000 Cd
0.5000 0.5000 0.0000 Hg
```

Output
The size of the total moment comes out at 0.000 μB/f.u. The calculation puts the calculated volume at 95.0 Å³ per cell.



It is version A that is the most stable of them.



Version A
Compound: TlCd2Hg
Source: the Alexandria database
Functional: GGA-PBEsol
Structure: relaxed

```
TlCd2Hg
1.0
3.2032 0.0000 0.0000
0.0000 4.3675 0.0000
0.0000 0.0000 6.6673
Tl Cd Hg
1 2 1
Direct
0.0000 0.0000 0.0000 Tl
0.0000 0.0000 0.4960 Cd
0.5000 0.5000 0.2657 Cd
0.5000 0.5000 0.7261 Hg
```

Output
The size of the total moment comes out at 0.000 μB/f.u. The calculation puts the calculated volume at 93.3 Å³ per cell.



Version B
Compound: TlCd2Hg
Source: the Alexandria database
Functional: GGA-PBEsol
Structure: relaxed

```
TlCd2Hg
1.0
3.2117 0.0000 0.0000
0.0000 4.8421 0.0000
-1.4263 0.0000 6.0787
Tl Cd Hg
1 2 1
Direct
0.0000 0.0000 0.0000 Tl
0.2809 0.0000 0.5000 Cd
0.6946 0.5000 0.3244 Cd
0.4182 0.5000 0.7893 Hg
```

Output
The size of the total moment comes out at 0.000 μB/f.u. The calculation puts the calculated volume at 94.5 Å³ per cell.



Version C
Compound: TlCd2Hg
Source: the Alexandria database
Functional: GGA-PBEsol
Structure: relaxed

```
TlCd2Hg
1.0
-1.7349 2.6199 5.2392
1.7349 -2.6199 5.2392
1.7349 2.6199 -5.2392
Tl Cd Hg
1 2 1
Direct
0.0000 0.0000 0.0000 Tl
0.2611 0.7611 0.5000 Cd
0.7389 0.2389 0.5000 Cd
0.5000 0.5000 0.0000 Hg
```

Output
The size of the total moment comes out at 0.000 μB/f.u. The calculation puts the calculated volume at 95.3 Å³ per cell.



Version D
Compound: TlCd2Hg
Source: the Alexandria database
Functional: GGA-PBEsol
Structure: relaxed

```
TlCd2Hg
1.0
0.0000 3.6096 3.6096
3.6096 0.0000 3.6096
3.6096 3.6096 0.0000
Tl Cd Hg
1 2 1
Direct
0.0000 0.0000 0.0000 Tl
0.2500 0.2500 0.2500 Cd
0.7500 0.7500 0.7500 Cd
0.5000 0.5000 0.5000 Hg
```

Output
The size of the total moment comes out at 0.000 μB/f.u. The calculation puts the calculated volume at 94.1 Å³ per cell.



It is version A that is the most stable of them.



Version A
Compound: TlCd2Hg
Source: the Alexandria database
Functional: GGA-PBEsol
Structure: relaxed

```
TlCd2Hg
1.0
-2.3184 2.3184 4.3617
2.3184 -2.3184 4.3617
2.3184 2.3184 -4.3617
Tl Cd Hg
1 2 1
Direct
0.0000 0.0000 0.0000 Tl
0.2500 0.7500 0.5000 Cd
0.7500 0.2500 0.5000 Cd
0.5000 0.5000 0.0000 Hg
```

Output
The size of the total moment comes out at 0.000 μB/f.u. The calculation puts the calculated volume at 93.8 Å³ per cell.



Version B
Compound: TlCd2Hg
Source: the Alexandria database
Functional: GGA-PBEsol
Structure: relaxed

```
TlCd2Hg
1.0
-4.0820 4.0820 3.0272
4.0820 -4.0820 3.0272
4.0820 4.0820 -3.0272
Tl Cd Hg
2 4 2
Direct
0.0000 0.0000 0.0000 Tl
0.7500 0.2500 0.5000 Tl
0.1394 0.6250 0.0144 Cd
0.3750 0.3894 0.5144 Cd
0.6106 0.1250 0.9856 Cd
0.8750 0.8606 0.4856 Cd
0.2500 0.7500 0.5000 Hg
0.5000 0.5000 0.0000 Hg
```

Output
The size of the total moment comes out at 0.000 μB/f.u. The calculation puts the calculated volume at 201.8 Å³ per cell.



Version C
Compound: TlCd2Hg
Source: the Alexandria database
Functional: GGA-PBEsol
Structure: relaxed

```
TlCd2Hg
1.0
5.0496 0.0000 0.0000
0.0000 5.0496 0.0000
0.0000 0.0000 3.7071
Tl Cd Hg
1 2 1
Direct
0.0000 0.0000 0.0000 Tl
0.0000 0.5000 0.5000 Cd
0.5000 0.0000 0.5000 Cd
0.5000 0.5000 0.0000 Hg
```

Output
The size of the total moment comes out at 0.000 μB/f.u. The calculation puts the calculated volume at 94.5 Å³ per cell.



It is version A that is the most stable of them.